No. 1
Density functional theory data (PBE-GGA) for a geometry-optimized SrMg4Cd structure.

Cell and atoms, written as POSCAR:
```
SrMg4Cd
1.0
-4.836 -1.186 3.591
-5.643 -0.183 -2.412
-2.952 -5.360 -0.499
Sr Mg Cd
1 4 1
Direct
0.750 0.750 0.750
0.375 0.375 0.876
0.375 0.375 0.375
0.876 0.375 0.375
0.375 0.876 0.375
0.000 0.000 0.000
```

Computed properties:
Raw total energy in eV per atom: -1.51
Crystal system: cubic
Formation enthalpy at 0 K in meV/atom: -10
Fermi-level density of states in states/eV/cell: 6.92

=====

No. 2
Density functional theory data (PBE-GGA) for a geometry-optimized Sr2MgCd structure.

Cell and atoms, written as POSCAR:
```
Sr2MgCd
1.0
-3.224 1.810 1.587
0.859 -1.612 3.585
5.013 7.160 2.018
Sr Cd Mg
2 1 1
Direct
0.000 0.000 0.945
0.500 0.500 0.311
0.000 0.000 0.544
0.500 0.500 0.699
```

Computed properties:
Raw total energy in eV per atom: -1.59
Crystal system: tetragonal
Formation enthalpy at 0 K in meV/atom: -124
Fermi-level density of states in states/eV/cell: 2.32

=====

No. 3
Density functional theory data (PBE-GGA) for a geometry-optimized SrMg6Cd structure.

Cell and atoms, written as POSCAR:
```
SrMg6Cd
1.0
-7.025 0.465 0.450
3.718 -5.994 0.136
0.352 0.335 5.139
Mg Sr Cd
6 1 1
Direct
0.830 0.690 0.000
0.310 0.170 0.000
0.181 0.315 0.500
0.356 0.644 0.000
0.193 0.807 0.500
0.685 0.819 0.500
0.806 0.194 0.000
0.638 0.362 0.500
```

Computed properties:
Raw total energy in eV per atom: -1.52
Crystal system: orthorhombic
Formation enthalpy at 0 K in meV/atom: -3
Fermi-level density of states in states/eV/cell: 2.86

=====

No. 4
Density functional theory data (PBE-GGA) for a geometry-optimized SrMg3Cd4 structure.

Cell and atoms, written as POSCAR:
```
SrMg3Cd4
1.0
-2.004 3.028 3.941
-6.607 0.034 -3.385
-2.631 -8.317 5.052
Mg Cd Sr
6 8 2
Direct
0.650 0.000 0.750
0.350 0.000 0.250
0.526 0.500 0.750
0.000 0.000 0.500
0.474 0.500 0.250
0.000 0.000 0.000
0.500 0.214 0.500
0.500 0.786 0.000
0.140 0.209 0.750
0.500 0.214 0.000
0.860 0.791 0.250
0.140 0.791 0.750
0.500 0.786 0.500
0.860 0.209 0.250
0.000 0.500 0.500
0.000 0.500 0.000
```

Computed properties:
Raw total energy in eV per atom: -1.42
Crystal system: orthorhombic
Formation enthalpy at 0 K in meV/atom: -149
Fermi-level density of states in states/eV/cell: 7.30

=====

No. 5
Density functional theory data (PBE-GGA) for a geometry-optimized Sr6MgCd5 structure.

Cell and atoms, written as POSCAR:
```
Sr6MgCd5
1.0
-1.037 5.307 2.138
-6.260 0.765 -4.935
-1.568 -6.505 7.478
Sr Mg Cd
6 1 5
Direct
0.169 0.916 0.338
0.500 0.256 0.000
0.831 0.578 0.662
0.500 0.744 0.000
0.169 0.422 0.338
0.831 0.084 0.662
0.000 0.000 0.000
0.662 0.162 0.323
0.666 0.666 0.332
0.338 0.838 0.677
0.334 0.334 0.668
0.000 0.500 0.000
```

Computed properties:
Raw total energy in eV per atom: -1.64
Crystal system: orthorhombic
Formation enthalpy at 0 K in meV/atom: -286
Fermi-level density of states in states/eV/cell: 8.87

=====

No. 6
Density functional theory data (PBE-GGA) for a geometry-optimized SrMgCd structure.

Cell and atoms, written as POSCAR:
```
SrMgCd
1.0
5.119 0.000 0.000
-2.560 4.433 0.000
0.000 0.000 4.177
Mg Sr Cd
1 1 1
Direct
0.333 0.667 0.166
0.667 0.333 0.667
0.000 0.000 0.167
```

Computed properties:
Raw total energy in eV per atom: -1.60
Crystal system: hexagonal
Formation enthalpy at 0 K in meV/atom: -202
Fermi-level density of states in states/eV/cell: 2.26

=====

No. 7
Density functional theory data (PBE-GGA) for a geometry-optimized Sr2Mg2Cd structure.

Cell and atoms, written as POSCAR:
```
Sr2Mg2Cd
1.0
7.254 0.000 0.000
-3.627 5.500 -1.988
0.000 0.022 8.360
Sr Mg Cd
4 4 2
Direct
0.246 0.662 0.850
0.416 0.662 0.350
0.754 0.338 0.150
0.584 0.338 0.650
0.037 0.821 0.548
0.216 0.179 0.952
0.963 0.179 0.452
0.784 0.821 0.048
0.217 0.000 0.250
0.783 0.000 0.750
```

Computed properties:
Raw total energy in eV per atom: -1.65
Crystal system: monoclinic
Formation enthalpy at 0 K in meV/atom: -156
Fermi-level density of states in states/eV/cell: 7.42

=====

No. 8
Density functional theory data (PBE-GGA) for a geometry-optimized Sr3Mg7Cd4 structure.

Cell and atoms, written as POSCAR:
```
Sr3Mg7Cd4
1.0
4.801 0.000 1.211
1.719 8.568 3.308
0.134 0.348 9.588
Mg Sr Cd
7 3 4
Direct
0.325 0.831 0.518
0.000 0.000 0.000
0.498 0.197 0.807
0.145 0.632 0.077
0.675 0.169 0.482
0.855 0.368 0.923
0.502 0.803 0.193
0.700 0.800 0.799
0.300 0.200 0.201
0.000 0.500 0.500
0.877 0.910 0.335
0.660 0.468 0.212
0.123 0.090 0.665
0.340 0.532 0.788
```

Computed properties:
Raw total energy in eV per atom: -1.60
Crystal system: monoclinic
Formation enthalpy at 0 K in meV/atom: -186
Fermi-level density of states in states/eV/cell: 7.28

=====

No. 9
Density functional theory data (PBE-GGA) for a geometry-optimized Sr2MgCd7 structure.

Cell and atoms, written as POSCAR:
```
Sr2MgCd7
1.0
-2.266 -0.233 4.002
4.002 -0.389 2.244
0.631 12.910 1.110
Sr Cd Mg
2 7 1
Direct
0.500 0.000 0.748
0.000 0.500 0.252
0.500 0.000 0.141
0.500 0.000 0.358
0.500 0.500 0.500
0.000 0.500 0.859
0.000 0.000 0.000
0.000 0.500 0.642
0.000 0.000 0.500
0.500 0.500 0.000
```

Computed properties:
Raw total energy in eV per atom: -1.39
Crystal system: tetragonal
Formation enthalpy at 0 K in meV/atom: -255
Fermi-level density of states in states/eV/cell: 3.25

=====

No. 10
Density functional theory data (PBE-GGA) for a geometry-optimized Sr8MgCd2 structure.

Cell and atoms, written as POSCAR:
```
Sr8MgCd2
1.0
5.532 0.000 -1.683
-1.486 8.598 -4.883
0.025 -0.124 10.011
Cd Sr Mg
2 8 1
Direct
0.803 0.303 0.606
0.197 0.697 0.394
0.662 0.876 0.324
0.864 0.864 0.729
0.136 0.136 0.271
0.000 0.319 0.000
0.338 0.552 0.676
0.662 0.448 0.324
0.000 0.681 0.000
0.338 0.124 0.676
0.500 0.000 0.000
```

Computed properties:
Raw total energy in eV per atom: -1.60
Crystal system: orthorhombic
Formation enthalpy at 0 K in meV/atom: -64
Fermi-level density of states in states/eV/cell: 12.31

=====

No. 11
Density functional theory data (PBE-GGA) for a geometry-optimized SrMg3Cd structure.

Cell and atoms, written as POSCAR:
```
SrMg3Cd
1.0
-1.866 2.966 3.033
-4.365 -5.683 2.873
4.444 -3.394 6.054
Sr Mg Cd
2 6 2
Direct
0.881 0.152 0.579
0.381 0.523 0.227
0.882 0.252 0.039
0.381 0.422 0.766
0.381 0.998 0.927
0.882 0.665 0.511
0.381 0.009 0.296
0.881 0.678 0.879
0.880 0.859 0.152
0.381 0.816 0.655
```

Computed properties:
Raw total energy in eV per atom: -1.60
Crystal system: triclinic
Formation enthalpy at 0 K in meV/atom: -124
Fermi-level density of states in states/eV/cell: 5.87

=====

No. 12
Density functional theory data (PBE-GGA) for a geometry-optimized SrMgCd17 structure.

Cell and atoms, written as POSCAR:
```
SrMgCd17
1.0
7.708 0.087 1.007
0.895 7.656 1.007
0.097 0.087 7.773
Mg Sr Cd
1 1 17
Direct
0.313 0.313 0.313
0.668 0.668 0.668
0.003 0.297 0.704
0.912 0.912 0.912
0.891 0.351 0.351
0.003 0.704 0.297
0.704 0.297 0.003
0.351 0.891 0.351
0.533 0.974 0.974
0.704 0.003 0.297
0.974 0.533 0.974
0.592 0.234 0.592
0.351 0.351 0.891
0.592 0.592 0.234
0.297 0.003 0.704
0.974 0.974 0.533
0.297 0.704 0.003
0.234 0.592 0.592
0.108 0.108 0.108
```

Computed properties:
Raw total energy in eV per atom: -1.05
Crystal system: trigonal
Formation enthalpy at 0 K in meV/atom: -61
Fermi-level density of states in states/eV/cell: 5.46